# LiCaCd17, optimized geometry, DFT PBE-GGA
data_LiCaCd17
_symmetry_space_group_name_H-M 'R 3 m'
_symmetry_Int_Tables_number 160
_symmetry_space_group_name_Hall 'R 3 -2"'
_cell_length_a 10.0219
_cell_length_b 10.0219
_cell_length_c 15.3855
_cell_angle_alpha 90.00
_cell_angle_beta 90.00
_cell_angle_gamma 120.00
loop_
_atom_site_label
_atom_site_fract_x
_atom_site_fract_y
_atom_site_fract_z
_atom_site_occupancy
Li1 0.0000 0.0000 0.0000 1
Ca1 0.0000 0.0000 0.3633 1
Cd1 0.0000 0.0000 0.6106 1
Cd2 0.0000 0.0000 0.8014 1
Cd3 0.0007 0.3014 0.6964 1
Cd4 0.0324 0.5162 0.5588 1
Cd5 0.0424 0.5212 0.1886 1
Cd6 0.1093 0.5547 0.8351 1
# **V**: 23.5 A^3/atom
# **Fermi-level density of states**: 20.53 states/eV/cell
# **E**: -1.093 eV/atom

# BeInH3, optimized geometry, DFT PBE-GGA
data_BeInH3
_symmetry_space_group_name_H-M 'P m -3 m'
_symmetry_Int_Tables_number 221
_symmetry_space_group_name_Hall '-P 4 2 3'
_cell_length_a 3.6193
_cell_length_b 3.6193
_cell_length_c 3.6193
_cell_angle_alpha 90.00
_cell_angle_beta 90.00
_cell_angle_gamma 90.00
loop_
_atom_site_label
_atom_site_fract_x
_atom_site_fract_y
_atom_site_fract_z
_atom_site_occupancy
Be1 0.0000 0.0000 0.0000 1
In1 0.5000 0.5000 0.5000 1
H1 0.0000 0.0000 0.5000 1
# **V**: 9.5 A^3/atom
# **Fermi-level density of states**: 0.53 states/eV/cell
# **E**: -2.876 eV/atom

# ErMgP2Pd5, optimized geometry, DFT PBE-GGA
data_ErMgP2Pd5
_symmetry_space_group_name_H-M 'P 4/m m m'
_symmetry_Int_Tables_number 123
_symmetry_space_group_name_Hall '-P 4 2'
_cell_length_a 4.1005
_cell_length_b 4.1005
_cell_length_c 8.5828
_cell_angle_alpha 90.00
_cell_angle_beta 90.00
_cell_angle_gamma 90.00
loop_
_atom_site_label
_atom_site_fract_x
_atom_site_fract_y
_atom_site_fract_z
_atom_site_occupancy
Er1 0.0000 0.0000 0.0000 1
Mg1 0.0000 0.0000 0.5000 1
P1 0.5000 0.5000 0.1284 1
Pd1 0.0000 0.5000 0.2688 1
Pd2 0.5000 0.5000 0.5000 1
# **V**: 16.0 A^3/atom
# **Fermi-level density of states**: 1.44 states/eV/cell
# **E**: -5.622 eV/atom